[1]
Here is crystalline Zn2PtRh at its relaxed geometry from Alexandria via LeMat-Bulk. Energies are from PBE.

Summary:
calculated total energy = -4.3350 eV/atom
energy relative to the elements = -0.3500 eV/atom
SG = Pm (6)

abc: 4.1627 2.7924 5.1374
angles: 74.35 90.00 90.00
Fractional positions:
Pt 0.0000 0.4583 0.4564
Rh 0.5000 0.7895 0.7980
Zn 0.0000 0.2022 0.9721
Zn 0.5000 0.0501 0.2735

=====

[2]
Here is crystalline Zn2Pt8Rh3 at its relaxed geometry from Alexandria via LeMat-Bulk. Energies are from PBE.

Summary:
calculated total energy = -5.6154 eV/atom
energy relative to the elements = -0.0055 eV/atom
SG = C2/m (12)

abc: 4.9433 7.3508 6.9005
angles: 122.18 81.53 90.00
Fractional positions:
Zn 0.3961 0.3881 0.7762
Zn 0.6039 0.6119 0.2238
Pt 0.1097 0.5979 0.1957
Pt 0.8903 0.4021 0.8043
Pt 0.7509 0.1855 0.3709
Pt 0.2491 0.8145 0.6291
Pt 0.7380 0.6209 0.6102
Pt 0.7380 0.9893 0.6102
Pt 0.2620 0.0107 0.3898
Pt 0.2620 0.3791 0.3898
Rh 0.5000 0.0000 0.0000
Rh 0.0000 0.1802 0.0000
Rh 0.0000 0.8198 0.0000

=====

[3]
Here is crystalline ZnPtRh at its relaxed geometry from Alexandria via LeMat-Bulk. Energies are from PBE.

Summary:
calculated total energy = -5.1976 eV/atom
ΔE to the lowest computed polymorph = 12 meV per atom
energy relative to the elements = -0.3089 eV/atom
SG = Cm (8)

abc: 4.6915 2.7771 14.1515
angles: 90.00 108.18 90.00
Fractional positions:
Zn 0.7074 0.0000 0.4157
Zn 0.7074 0.5000 0.9157
Zn 0.3383 0.0000 0.7403
Zn 0.3383 0.5000 0.2403
Rh 0.5176 0.0000 0.5772
Rh 0.5176 0.5000 0.0772
Rh 0.2151 0.0000 0.9098
Rh 0.2151 0.5000 0.4098
Pt 0.8421 0.0000 0.2504
Pt 0.8421 0.5000 0.7504
Pt 0.0174 0.0000 0.0766
Pt 0.0174 0.5000 0.5766

=====

[4]
Here is crystalline Zn4PtRh at its relaxed geometry from Alexandria via LeMat-Bulk. Energies are from PBE.

Summary:
calculated total energy = -3.3114 eV/atom
ΔE to the lowest computed polymorph = 157 meV per atom
energy relative to the elements = -0.2301 eV/atom
SG = P4/mmm (123)

abc: 5.8797 5.8770 6.0381
angles: 90.00 89.94 90.00
Fractional positions:
Zn 0.7500 0.7498 0.2542
Zn 0.7500 0.2498 0.7458
Zn 0.2500 0.2498 0.2542
Zn 0.2500 0.7498 0.7458
Zn 0.2500 0.2502 0.7458
Zn 0.2500 0.7502 0.2542
Zn 0.7500 0.7502 0.7458
Zn 0.7500 0.2502 0.2542
Pt 0.0000 0.0000 0.0000
Pt 0.5000 0.5000 0.0000
Rh 0.5000 0.0000 0.5000
Rh 0.0000 0.5000 0.5000

=====

[5]
Here is crystalline Zn2Pt4Rh3 at its relaxed geometry from Alexandria via LeMat-Bulk. Energies are from PBE.

Summary:
calculated total energy = -5.6509 eV/atom
energy relative to the elements = -0.2325 eV/atom
SG = C2/m (12)

abc: 3.9056 4.7565 8.2537
angles: 73.52 90.02 65.78
Fractional positions:
Zn 0.3322 0.3356 0.7773
Zn 0.6678 0.6644 0.2227
Pt 0.6667 0.6668 0.8892
Pt 0.0003 0.9996 0.3312
Pt 0.9997 0.0004 0.6688
Pt 0.3333 0.3332 0.1108
Rh 0.3349 0.3304 0.4504
Rh 0.0000 0.0000 0.0000
Rh 0.6651 0.6696 0.5496

=====

[6]
Here is crystalline ZnPt2Rh2 at its relaxed geometry from Alexandria via LeMat-Bulk. Energies are from PBE.

Summary:
calculated total energy = -5.8190 eV/atom
ΔE to the lowest computed polymorph = 0 meV per atom
energy relative to the elements = -0.2073 eV/atom
SG = C2/m (12)

abc: 6.1447 4.7596 4.7597
angles: 131.70 130.19 49.81
Fractional positions:
Zn 0.0000 0.0000 0.0000
Pt 0.6020 0.7966 0.2034
Pt 0.3980 0.2034 0.7966
Rh 0.1992 0.6060 0.3941
Rh 0.8008 0.3940 0.6059